The following is a DFT calculation (GGA-PBE) of an optimized crystal structure of CuTe.

extended XYZ file:
```
2
Lattice="-2.081 2.081 2.928 2.081 -2.081 2.928 2.081 2.081 -2.928" Properties=species:S:1:pos:R:3 pbc="T T T"
Cu 0.000 0.000 0.000
Te 2.081 0.000 1.464
```

Properties
energy = -6.915 eV/cell